VASP calculation (GGA-PBEsol) on a relaxed Ca3Cu2NiP4O16 crystal.

Structure (POSCAR):
```
Ca3Cu2NiP4O16
1.0
8.784 0.000 0.000
0.000 4.882 0.000
-1.206 0.000 14.713
Ca Cu Ni P O
6 4 2 8 32
Direct
0.213 0.000 0.015
0.246 0.040 0.750
0.281 0.061 0.483
0.719 0.561 0.517
0.754 0.540 0.250
0.787 0.500 0.985
0.245 0.025 0.249
0.426 0.503 0.131
0.574 0.003 0.869
0.755 0.525 0.751
0.088 0.579 0.372
0.912 0.079 0.628
0.094 0.544 0.155
0.127 0.570 0.594
0.370 0.525 0.911
0.405 0.507 0.344
0.595 0.007 0.656
0.630 0.025 0.089
0.873 0.070 0.406
0.906 0.044 0.845
0.003 0.636 0.068
0.010 0.597 0.241
0.038 0.959 0.404
0.119 0.890 0.606
0.146 0.241 0.149
0.187 0.518 0.498
0.239 0.439 0.665
0.245 0.726 0.165
0.252 0.698 0.856
0.260 0.312 0.337
0.329 0.797 0.352
0.333 0.569 0.012
0.356 0.214 0.890
0.462 0.114 0.101
0.494 0.477 0.259
0.497 0.934 0.570
0.503 0.434 0.430
0.506 0.977 0.741
0.538 0.614 0.899
0.644 0.714 0.110
0.667 0.069 0.988
0.671 0.297 0.648
0.740 0.812 0.663
0.748 0.198 0.144
0.755 0.226 0.835
0.761 0.939 0.335
0.813 0.018 0.502
0.854 0.741 0.851
0.881 0.390 0.394
0.962 0.459 0.596
0.990 0.097 0.759
0.997 0.136 0.932
```

Output
total energy: -7.143 eV/atom
space group: P2_1, No. 4
total moment: 8.1 Bohr magnetons per cell
energy relative to the elements, uncorrected: -2.205 eV/atom


VASP calculation (GGA-PBEsol) on a relaxed CaYRe2 crystal.

Structure (POSCAR):
```
CaYRe2
1.0
3.738 0.000 0.000
0.000 3.738 0.000
0.000 0.000 6.481
Ca Y Re
1 1 2
Direct
0.000 0.000 0.000
0.000 0.000 0.500
0.500 0.500 0.319
0.500 0.500 0.681
```

Output
total energy: -8.182 eV/atom
space group: P4/mmm, No. 123
distance to the lowest polymorph of the same formula: 45 meV per atom
total moment: 0.0 Bohr magnetons per cell
formation energy: 0.7227 eV/atom


VASP calculation (GGA-PBEsol) on a relaxed RuPt2 crystal.

Structure (POSCAR):
```
RuPt2
1.0
3.675 0.000 0.000
-1.838 3.183 0.000
0.000 0.000 4.295
Ru Pt
1 2
Direct
0.000 0.000 0.000
0.333 0.667 0.310
0.667 0.333 0.690
```

Output
total energy: -7.231 eV/atom
space group: P-3m1, No. 164
total moment: 0.0 Bohr magnetons per cell
formation energy: 0.8020 eV/atom


VASP calculation (GGA-PBEsol) on a relaxed MnCrIn crystal.

Structure (POSCAR):
```
MnCrIn
1.0
4.191 0.000 0.000
-2.095 3.629 0.000
0.000 0.000 2.841
Mn Cr In
1 1 1
Direct
0.000 0.000 0.000
0.333 0.667 0.113
0.667 0.333 0.564
```

Output
total energy: -7.256 eV/atom
space group: P3m1, No. 156
total moment: 0.1 Bohr magnetons per cell
formation energy: 0.4058 eV/atom


VASP calculation (GGA-PBEsol) on a relaxed TiVB4 crystal.

Structure (POSCAR):
```
TiVB4
1.0
2.998 0.000 0.000
-1.499 2.596 0.000
0.000 0.000 6.175
Ti V B
1 1 4
Direct
0.000 0.000 0.000
0.000 0.000 0.500
0.333 0.667 0.257
0.333 0.667 0.743
0.667 0.333 0.257
0.667 0.333 0.743
```

Output
total energy: -8.639 eV/atom
space group: P6/mmm, No. 191
total moment: 0.0 Bohr magnetons per cell
formation energy: -0.9685 eV/atom


VASP calculation (GGA-PBEsol) on a relaxed TaCl crystal.

Structure (POSCAR):
```
TaCl
1.0
3.108 0.000 0.000
0.000 3.108 0.000
0.000 0.000 3.108
Ta Cl
1 1
Direct
0.000 0.000 0.000
0.500 0.500 0.500
```

Output
total energy: -6.522 eV/atom
space group: Pm-3m, No. 221
total moment: 0.0 Bohr magnetons per cell
energy relative to the elements, uncorrected: 0.758 eV/atom


VASP calculation (GGA-PBEsol) on a relaxed CsCuRhF6 crystal.

Structure (POSCAR):
```
CsCuRhF6
1.0
-3.624 3.631 5.278
3.624 -3.631 5.278
3.624 3.631 -5.278
Cs Cu Rh F
2 2 2 12
Direct
0.357 0.107 0.250
0.643 0.893 0.750
0.000 0.000 0.500
0.000 0.500 0.000
0.000 0.500 0.500
0.500 0.500 0.000
0.062 0.812 0.250
0.073 0.420 0.252
0.073 0.822 0.653
0.326 0.576 0.750
0.332 0.178 0.752
0.332 0.580 0.153
0.668 0.420 0.847
0.668 0.822 0.248
0.674 0.424 0.250
0.927 0.178 0.347
0.927 0.580 0.748
0.938 0.188 0.750
```

Output
total energy: -4.649 eV/atom
space group: Imma, No. 74
total moment: 2.0 Bohr magnetons per cell
energy relative to the elements, uncorrected: -1.874 eV/atom


VASP calculation (GGA-PBEsol) on a relaxed LaYSb2 crystal.

Structure (POSCAR):
```
LaYSb2
1.0
4.452 0.000 0.000
0.000 4.452 0.000
0.000 0.000 6.281
La Y Sb
1 1 2
Direct
0.000 0.000 0.000
0.500 0.500 0.500
0.000 0.000 0.500
0.500 0.500 0.000
```

Output
total energy: -6.515 eV/atom
space group: P4/mmm, No. 123
distance to the lowest polymorph of the same formula: 28 meV per atom
total moment: 0.0 Bohr magnetons per cell
energy relative to the elements, uncorrected: -1.194 eV/atom


VASP calculation (GGA-PBEsol) on a relaxed ZrZnN2 crystal.

Structure (POSCAR):
```
ZrZnN2
1.0
-2.343 2.343 4.910
2.343 -2.343 4.910
2.343 2.343 -4.910
Zr Zn N
2 2 4
Direct
0.000 0.000 0.000
0.750 0.250 0.500
0.250 0.750 0.500
0.500 0.500 0.000
0.127 0.625 0.002
0.375 0.377 0.502
0.623 0.125 0.998
0.875 0.873 0.498
```

Output
total energy: -7.871 eV/atom
space group: I-42d, No. 122
total moment: 0.0 Bohr magnetons per cell
energy relative to the elements, uncorrected: -0.939 eV/atom


VASP calculation (GGA-PBEsol) on a relaxed HfTi3 crystal.

Structure (POSCAR):
```
HfTi3
1.0
5.947 0.000 0.000
-2.974 5.151 0.000
0.000 0.000 4.672
Hf Ti
2 6
Direct
0.333 0.667 0.250
0.667 0.333 0.750
0.161 0.323 0.750
0.161 0.839 0.750
0.323 0.161 0.250
0.677 0.839 0.750
0.839 0.161 0.250
0.839 0.677 0.250
```

Output
total energy: -8.839 eV/atom
space group: P6_3/mmc, No. 194
total moment: 0.0 Bohr magnetons per cell
formation energy: 0.0285 eV/atom


VASP calculation (GGA-PBEsol) on a relaxed NaAlH4 crystal.

Structure (POSCAR):
```
NaAlH4
1.0
-2.429 2.429 5.303
2.429 -2.429 5.303
2.429 2.429 -5.303
Na Al H
2 2 8
Direct
0.375 0.125 0.250
0.625 0.875 0.750
0.125 0.375 0.750
0.875 0.625 0.250
0.056 0.697 0.833
0.197 0.864 0.641
0.277 0.444 0.141
0.364 0.223 0.667
0.636 0.777 0.333
0.723 0.556 0.859
0.803 0.136 0.359
0.944 0.303 0.167
```

Output
total energy: -3.229 eV/atom
space group: I4_1/a, No. 88
total moment: 0.0 Bohr magnetons per cell


VASP calculation (GGA-PBEsol) on a relaxed Co4AgPb crystal.

Structure (POSCAR):
```
Co4AgPb
1.0
0.000 3.436 3.436
3.436 0.000 3.436
3.436 3.436 0.000
Co Ag Pb
4 1 1
Direct
0.124 0.124 0.124
0.124 0.124 0.627
0.124 0.627 0.124
0.627 0.124 0.124
0.750 0.750 0.750
0.500 0.500 0.500
```

Output
total energy: -5.988 eV/atom
space group: F-43m, No. 216
total moment: 6.1 Bohr magnetons per cell
formation energy: 0.3886 eV/atom


VASP calculation (GGA-PBEsol) on a relaxed RbBa2TcN crystal.

Structure (POSCAR):
```
RbBa2TcN
1.0
6.150 0.000 0.000
0.000 6.150 0.000
0.000 0.000 4.578
Rb Ba Tc N
1 2 1 1
Direct
0.000 0.000 0.000
0.000 0.500 0.000
0.500 0.000 0.000
0.000 0.000 0.500
0.500 0.500 0.500
```

Output
total energy: -2.809 eV/atom
space group: P4/mmm, No. 123
total moment: 1.7 Bohr magnetons per cell
energy relative to the elements, uncorrected: 2.214 eV/atom


VASP calculation (GGA-PBEsol) on a relaxed CsInCuF6 crystal.

Structure (POSCAR):
```
CsInCuF6
1.0
-3.669 3.869 5.351
3.669 -3.869 5.351
3.669 3.869 -5.351
Cs In Cu F
2 2 2 12
Direct
0.338 0.088 0.250
0.662 0.912 0.750
0.000 0.500 0.500
0.500 0.500 0.000
0.000 0.000 0.500
0.000 0.500 0.000
0.050 0.800 0.250
0.058 0.407 0.226
0.058 0.831 0.651
0.320 0.169 0.726
0.320 0.593 0.151
0.332 0.582 0.750
0.668 0.418 0.250
0.680 0.407 0.849
0.680 0.831 0.274
0.942 0.169 0.349
0.942 0.593 0.774
0.950 0.200 0.750
```

Output
total energy: -4.479 eV/atom
space group: Imma, No. 74
total moment: 2.0 Bohr magnetons per cell
energy relative to the elements, uncorrected: -2.277 eV/atom


VASP calculation (GGA-PBEsol) on a relaxed YH2Ru crystal.

Structure (POSCAR):
```
YH2Ru
1.0
-2.101 2.101 5.159
2.101 -2.101 5.159
2.101 2.101 -5.159
Y H Ru
2 4 2
Direct
0.000 0.000 0.000
0.750 0.250 0.500
0.238 0.625 0.113
0.375 0.488 0.613
0.512 0.125 0.887
0.875 0.762 0.387
0.250 0.750 0.500
0.500 0.500 0.000
```

Output
total energy: -6.207 eV/atom
space group: I-42d, No. 122
total moment: 0.0 Bohr magnetons per cell


VASP calculation (GGA-PBEsol) on a relaxed TiRh2F2 crystal.

Structure (POSCAR):
```
TiRh2F2
1.0
-1.631 1.631 5.802
1.631 -1.631 5.802
1.631 1.631 -5.802
Ti Rh F
1 2 2
Direct
0.000 0.000 0.000
0.388 0.388 0.000
0.612 0.612 0.000
0.250 0.750 0.500
0.750 0.250 0.500
```

Output
total energy: -6.448 eV/atom
space group: I4/mmm, No. 139
total moment: 1.6 Bohr magnetons per cell
energy relative to the elements, uncorrected: -0.757 eV/atom


VASP calculation (GGA-PBEsol) on a relaxed FeRu2Cl crystal.

Structure (POSCAR):
```
FeRu2Cl
1.0
-1.386 2.193 4.349
1.386 -2.193 4.349
1.386 2.193 -4.349
Fe Ru Cl
1 2 1
Direct
0.000 0.000 0.000
0.274 0.774 0.500
0.726 0.226 0.500
0.500 0.500 0.000
```

Output
total energy: -7.172 eV/atom
space group: Immm, No. 71
distance to the lowest polymorph of the same formula: 342 meV per atom
total moment: 2.9 Bohr magnetons per cell
energy relative to the elements, uncorrected: 0.657 eV/atom


VASP calculation (GGA-PBEsol) on a relaxed TaFe2IrAu crystal.

Structure (POSCAR):
```
TaFe2IrAu
1.0
4.437 0.000 0.000
0.000 4.437 0.000
0.000 0.000 4.895
Ta Fe Ir Au
1 2 1 1
Direct
0.000 0.000 0.000
0.000 0.500 0.500
0.500 0.000 0.500
0.500 0.500 0.000
0.500 0.500 0.500
```

Output
total energy: -6.986 eV/atom
space group: P4/mmm, No. 123
total moment: 5.0 Bohr magnetons per cell
formation energy: 1.8590 eV/atom


VASP calculation (GGA-PBEsol) on a relaxed AgP2Cl crystal.

Structure (POSCAR):
```
AgP2Cl
1.0
3.767 0.000 0.000
0.000 3.767 0.000
0.000 0.000 5.567
Ag P Cl
1 2 1
Direct
0.000 0.000 0.000
0.500 0.500 0.180
0.500 0.500 0.820
0.000 0.000 0.500
```

Output
total energy: -3.957 eV/atom
space group: P4/mmm, No. 123
distance to the lowest polymorph of the same formula: 360 meV per atom
total moment: 0.0 Bohr magnetons per cell
energy relative to the elements, uncorrected: 0.268 eV/atom


VASP calculation (GGA-PBEsol) on a relaxed Cu2SiRh crystal.

Structure (POSCAR):
```
Cu2SiRh
1.0
1.335 0.771 8.024
-1.335 0.771 8.024
0.000 -1.541 8.024
Cu Si Rh
2 1 1
Direct
0.246 0.246 0.246
0.754 0.754 0.754
0.500 0.500 0.500
0.000 0.000 0.000
```

Output
total energy: -5.624 eV/atom
space group: R-3m, No. 166
total moment: 0.0 Bohr magnetons per cell
energy relative to the elements, uncorrected: 0.014 eV/atom